No. 1
This record from the Alexandria database describes crystalline HfV3B at its relaxed geometry. The functional is PBE-GGA.

The calculation puts the density at 7.91 g cm⁻³.

The structure belongs to space group Pm-3m (No. 221); the cell edges are 4.157, 4.157 and 4.157 Å and the angles 90.00°, 90.00° and 90.00°. The inequivalent atoms are Hf at (0.000, 0.000, 0.000), V at (0.000, 0.500, 0.500) and B at (0.500, 0.500, 0.500).

***

No. 2
This record from the Alexandria database describes crystalline Hf3VB at its relaxed geometry. The functional is PBE-GGA.

The calculation puts the density at 9.37 g cm⁻³.

The structure belongs to space group Pm-3m (No. 221); the cell edges are 4.731, 4.731 and 4.731 Å and the angles 90.00°, 90.00° and 90.00°. The inequivalent atoms are Hf at (0.000, 0.000, 0.500), V at (0.000, 0.000, 0.000) and B at (0.500, 0.500, 0.500).

***

| no. | ΔE to the lowest computed polymorph (eV/f.u.) | total magnetic moment (μB per cell) | calculated volume (Å³ per atom) |
| --- | --- | --- | --- |
| 1 | 0.000 | 0.00 | 14.36 |
| 2 | 6.862 | 0.00 | 21.17 |